Entry 1:
Material: Ba2LiZn3Pb4
Method: DFT, PBE
State: relaxed

a b c (Å): 4.913 4.913 11.802
angles (deg): 90.00 90.00 90.00
Atoms (fractional coordinates):
Ba 0.500 0.000 0.258
Ba 0.000 0.500 0.742
Li 0.500 0.500 0.500
Zn 0.000 0.000 0.500
Zn 0.500 0.000 0.860
Zn 0.000 0.500 0.140
Pb 0.500 0.500 0.000
Pb 0.000 0.000 0.000
Pb 0.500 0.000 0.626
Pb 0.000 0.500 0.374

Results
Symmetry: P-4m2
Formation energy in meV per atom: -336
Calculated volume in Å³/cell: 285

***

Entry 2:
Material: Nd2ErIn
Method: DFT, PBE
State: relaxed

a b c (Å): 4.992 4.902 4.902
angles (deg): 90.00 90.00 90.00
Atoms (fractional coordinates):
In 0.500 0.000 0.000
Nd 0.000 0.000 0.500
Nd 0.000 0.500 0.000
Er 0.500 0.500 0.500

Results
Symmetry: P4/mmm
Formation energy in meV per atom: -267
Calculated volume in Å³/cell: 120

***

Entry 3:
Material: Cd3As2Br
Method: DFT, PBE
State: relaxed

a b c (Å): 7.763 7.763 7.577
angles (deg): 100.20 100.20 119.23
Atoms (fractional coordinates):
Cd 0.066 0.266 0.404
Cd 0.266 0.066 0.904
Cd 0.880 0.422 0.880
Cd 0.422 0.880 0.380
Cd 0.510 0.692 0.871
Cd 0.692 0.510 0.371
As 0.591 0.439 0.004
As 0.758 0.255 0.509
As 0.439 0.591 0.504
As 0.255 0.758 0.009
Br 0.092 0.924 0.501
Br 0.924 0.092 0.001

Results
Formation energy without anion corrections in eV/atom: -0.1878
Symmetry: Cc
Calculated volume in Å³/cell: 373

***

Entry 4:
Material: ZrGaCu
Method: DFT, PBE
State: relaxed

a b c (Å): 4.107 3.877 6.689
angles (deg): 90.00 72.17 90.00
Atoms (fractional coordinates):
Zr 0.541 0.960 0.504
Zr 0.863 0.960 0.861
Ga 0.701 0.460 0.186
Ga 0.364 0.460 0.859
Cu 0.195 0.960 0.197
Cu 0.050 0.460 0.486

Results
Symmetry: Amm2
Formation energy in meV per atom: -298
Calculated volume in Å³/cell: 101

***

Entry 5:
Material: Nd4MgPb2
Method: DFT, PBE
State: relaxed

a b c (Å): 7.993 6.600 9.654
angles (deg): 90.00 119.38 90.00
Atoms (fractional coordinates):
Nd 0.547 0.496 0.218
Nd 0.056 0.750 0.885
Nd 0.944 0.250 0.115
Nd 0.547 0.004 0.218
Nd 0.020 0.250 0.523
Nd 0.453 0.996 0.782
Nd 0.453 0.504 0.782
Nd 0.980 0.750 0.477
Mg 0.237 0.750 0.293
Mg 0.763 0.250 0.707
Pb 0.807 0.750 0.081
Pb 0.193 0.250 0.919
Pb 0.359 0.250 0.433
Pb 0.641 0.750 0.567

Results
Symmetry: P2_1/m
Formation energy in meV per atom: -233
Calculated volume in Å³/cell: 444

***

Entry 6:
Material: BaPm2Te4
Method: DFT, PBE
State: relaxed

a b c (Å): 4.578 7.792 15.605
angles (deg): 90.00 90.00 107.08
Atoms (fractional coordinates):
Ba 0.610 0.220 0.750
Ba 0.390 0.780 0.250
Pm 0.135 0.269 0.434
Pm 0.865 0.731 0.934
Pm 0.135 0.269 0.066
Pm 0.865 0.731 0.566
Te 0.770 0.539 0.116
Te 0.770 0.539 0.384
Te 0.230 0.461 0.884
Te 0.230 0.461 0.616
Te 0.939 0.877 0.750
Te 0.061 0.123 0.250
Te 0.500 0.000 0.000
Te 0.500 0.000 0.500

Results
Formation energy without anion corrections in eV/atom: -1.5396
Symmetry: Cmcm
Calculated volume in Å³/cell: 532

***

Entry 7:
Material: Pm3ThAl8
Method: DFT, PBE
State: relaxed

a b c (Å): 5.642 5.642 9.363
angles (deg): 90.00 90.00 120.00
Atoms (fractional coordinates):
Pm 0.667 0.333 0.431
Pm 0.667 0.333 0.067
Pm 0.000 0.000 0.931
Th 0.000 0.000 0.568
Al 0.333 0.667 0.499
Al 0.333 0.667 0.003
Al 0.504 0.007 0.750
Al 0.504 0.496 0.750
Al 0.993 0.496 0.750
Al 0.163 0.325 0.250
Al 0.163 0.837 0.250
Al 0.675 0.837 0.250

Results
Symmetry: P3m1
Formation energy in meV per atom: -474
Calculated volume in Å³/cell: 258

***

Entry 8:
Material: LaLuBi
Method: DFT, PBE
State: relaxed

a b c (Å): 4.153 5.246 5.246
angles (deg): 120.00 90.00 90.00
Atoms (fractional coordinates):
Lu 0.181 0.667 0.333
Bi 0.147 0.000 0.000
La 0.672 0.333 0.667

Results
Symmetry: P3m1
Formation energy in meV per atom: -351
Calculated volume in Å³/cell: 99

***

Entry 9:
Material: Ca2BeSbPd
Method: DFT, PBE
State: relaxed

a b c (Å): 5.447 4.155 5.447
angles (deg): 90.00 90.00 90.00
Atoms (fractional coordinates):
Sb 0.500 0.500 0.500
Ca 0.000 0.000 0.500
Ca 0.500 0.000 0.000
Pd 0.000 0.500 0.000
Be 0.000 0.000 0.000

Results
Formation energy without anion corrections in eV/atom: -0.2952
Symmetry: P4/mmm
Calculated volume in Å³/cell: 123

***

Entry 10:
Material: Cs2SrO
Method: DFT, PBE
State: relaxed

a b c (Å): 6.499 6.499 6.499
angles (deg): 60.00 60.00 60.00
Atoms (fractional coordinates):
Cs 0.250 0.250 0.250
Cs 0.750 0.750 0.750
Sr 0.500 0.500 0.500
O 0.000 0.000 0.000

Results
Formation energy without anion corrections in eV/atom: 0.2432
Symmetry: Fm-3m
Calculated volume in Å³/cell: 194

***

Entry 11:
Material: ThZrPa
Method: DFT, PBE
State: relaxed

a b c (Å): 3.920 3.920 5.862
angles (deg): 109.54 109.54 90.00
Atoms (fractional coordinates):
Pa 0.945 0.945 0.890
Zr 0.291 0.291 0.581
Th 0.615 0.615 0.229

Results
Symmetry: I4mm
Formation energy in meV per atom: 162
Calculated volume in Å³/cell: 79

***

Entry 12:
Material: Ti2PbO2
Method: DFT, PBE
State: relaxed

a b c (Å): 3.539 3.539 6.594
angles (deg): 74.43 74.43 90.00
Site moments in Bohr magnetons follow the coordinates.
Atoms (fractional coordinates):
Pb 0.000 0.000 0.000  -0.01
O 0.750 0.250 0.500  -0.03
O 0.250 0.750 0.500  -0.03
Ti 0.331 0.331 0.338  0.64
Ti 0.669 0.669 0.662  0.64

Results
Formation energy without anion corrections in eV/atom: -1.7761
Symmetry: I4/mmm
Calculated volume in Å³/cell: 76

***

Entry 13:
Material: ReSb2TePd
Method: DFT, PBE
State: relaxed

a b c (Å): 5.119 5.119 5.275
angles (deg): 90.00 90.00 90.00
Site moments in Bohr magnetons follow the coordinates.
Atoms (fractional coordinates):
Re 0.500 0.500 0.500  3.15
Te 0.000 0.000 0.500  -0.07
Pd 0.000 0.000 0.000  -0.04
Sb 0.000 0.500 0.000  -0.13
Sb 0.500 0.000 0.000  -0.13

Results
Formation energy without anion corrections in eV/atom: 1.2839
Symmetry: P4/mmm
Calculated volume in Å³/cell: 138

***

Entry 14:
Material: Y2TlCr
Method: DFT, PBE
State: relaxed

a b c (Å): 9.837 9.837 9.837
angles (deg): 20.90 20.90 20.90
Site moments in Bohr magnetons follow the coordinates.
Atoms (fractional coordinates):
Cr 0.250 0.250 0.250  3.27
Tl 0.750 0.750 0.750  0.00
Y 0.992 0.992 0.992  -0.09
Y 0.508 0.508 0.508  -0.09

Results
Symmetry: R-3m
Formation energy in meV per atom: 185
Calculated volume in Å³/cell: 106

***

Entry 15:
Material: TmSb2
Method: DFT, PBE
State: relaxed

a b c (Å): 5.012 5.012 9.095
angles (deg): 74.01 74.01 60.00
Atoms (fractional coordinates):
Tm 0.075 0.075 0.775
Tm 0.925 0.925 0.225
Sb 0.194 0.194 0.417
Sb 0.806 0.806 0.583
Sb 0.378 0.378 0.866
Sb 0.622 0.622 0.134

Results
Formation energy without anion corrections in eV/atom: -0.3082
Symmetry: R-3m
Calculated volume in Å³/cell: 188

***

Entry 16:
Material: La8Pr6Pb
Method: DFT, PBE
State: relaxed

a b c (Å): 6.894 9.525 9.525
angles (deg): 120.00 90.00 90.00
Atoms (fractional coordinates):
La 0.828 0.043 0.273
La 0.828 0.727 0.770
La 0.828 0.230 0.957
La 0.172 0.957 0.727
La 0.172 0.273 0.230
La 0.172 0.770 0.043
La 0.881 0.333 0.667
La 0.119 0.667 0.333
Pr 0.658 0.653 0.092
Pr 0.658 0.908 0.561
Pr 0.658 0.439 0.347
Pr 0.342 0.347 0.908
Pr 0.342 0.092 0.439
Pr 0.342 0.561 0.653
Pb 0.500 0.000 0.000

Results
Symmetry: P-3
Formation energy in meV per atom: 24
Calculated volume in Å³/cell: 542

***

Entry 17:
Material: KRhNO2
Method: DFT, PBE
State: relaxed

a b c (Å): 4.126 4.126 3.757
angles (deg): 90.00 90.00 90.00
Atoms (fractional coordinates):
K 0.500 0.500 0.500
Rh 0.000 0.000 0.000
O 0.000 0.500 0.000
O 0.500 0.000 0.000
N 0.000 0.000 0.500

Results
Formation energy without anion corrections in eV/atom: -0.1182
Symmetry: P4/mmm
Calculated volume in Å³/cell: 64

***

Entry 18:
Material: LiTmNi
Method: DFT, PBE
State: relaxed

a b c (Å): 3.375 3.375 5.227
angles (deg): 108.84 108.84 90.00
Atoms (fractional coordinates):
Ni 0.278 0.278 0.557
Tm 0.932 0.932 0.864
Li 0.639 0.639 0.279

Results
Symmetry: I4mm
Formation energy in meV per atom: -123
Calculated volume in Å³/cell: 53

***

Entry 19:
Material: SmMg2ScAu4
Method: DFT, PBE
State: relaxed

a b c (Å): 4.802 4.802 8.604
angles (deg): 73.80 73.80 60.00
Atoms (fractional coordinates):
Sm 0.000 0.000 0.000
Mg 0.754 0.754 0.739
Mg 0.246 0.246 0.261
Sc 0.500 0.500 0.500
Au 0.385 0.385 0.844
Au 0.871 0.871 0.387
Au 0.129 0.129 0.613
Au 0.615 0.615 0.156

Results
Symmetry: R-3m
Formation energy in meV per atom: -748
Calculated volume in Å³/cell: 163

***

Entry 20:
Material: MoRuPt2
Method: DFT, PBE
State: relaxed

a b c (Å): 4.828 4.828 4.827
angles (deg): 80.78 80.78 33.09
Atoms (fractional coordinates):
Mo 0.247 0.247 0.256
Pt 0.997 0.997 0.005
Pt 0.754 0.754 0.745
Ru 0.503 0.503 0.494

Results
Symmetry: Cm
Formation energy in meV per atom: -134
Calculated volume in Å³/cell: 61

***

Entry 21:
Material: SmLu2Cd
Method: DFT, PBE
State: relaxed

a b c (Å): 3.533 3.533 10.853
angles (deg): 80.63 80.63 60.00
Atoms (fractional coordinates):
Lu 0.257 0.257 0.230
Lu 0.743 0.743 0.770
Sm 0.500 0.500 0.500
Cd 0.000 0.000 0.000

Results
Symmetry: R-3m
Formation energy in meV per atom: -70
Calculated volume in Å³/cell: 115

***

Entry 22:
Material: LiZn4Ag5
Method: DFT, PBE
State: relaxed

a b c (Å): 5.172 6.386 6.386
angles (deg): 80.56 66.11 66.11
Atoms (fractional coordinates):
Li 0.198 0.000 0.000
Zn 0.391 0.418 0.712
Zn 0.809 0.712 0.582
Zn 0.103 0.288 0.418
Zn 0.521 0.582 0.288
Ag 0.815 0.392 0.891
Ag 0.206 0.891 0.608
Ag 0.705 0.109 0.392
Ag 0.097 0.608 0.109
Ag 0.665 0.000 0.000

Results
Symmetry: I4
Formation energy in meV per atom: 83
Calculated volume in Å³/cell: 176

***

Entry 23:
Material: YCdHg3
Method: DFT, PBE
State: relaxed

a b c (Å): 5.948 5.948 5.948
angles (deg): 90.00 90.00 90.00
Atoms (fractional coordinates):
Y 0.000 0.000 0.000
Hg 0.000 0.500 0.000
Hg 0.000 0.000 0.500
Hg 0.500 0.000 0.000
Cd 0.500 0.500 0.500

Results
Symmetry: Pm-3m
Formation energy in meV per atom: 360
Calculated volume in Å³/cell: 210

***

Entry 24:
Material: Zn2Ag2GeAu5
Method: DFT, PBE
State: relaxed

a b c (Å): 3.950 9.613 9.613
angles (deg): 90.00 90.00 90.00
Atoms (fractional coordinates):
Zn 0.000 0.128 0.628
Zn 0.000 0.872 0.372
Zn 0.000 0.628 0.872
Zn 0.000 0.372 0.128
Ag 0.000 0.664 0.164
Ag 0.000 0.336 0.836
Ag 0.000 0.164 0.336
Ag 0.000 0.836 0.664
Ge 0.000 0.000 0.000
Ge 0.000 0.500 0.500
Au 0.500 0.186 0.100
Au 0.500 0.814 0.900
Au 0.500 0.100 0.814
Au 0.500 0.686 0.400
Au 0.500 0.900 0.186
Au 0.500 0.314 0.600
Au 0.500 0.600 0.686
Au 0.500 0.400 0.314
Au 0.500 0.500 0.000
Au 0.500 0.000 0.500

Results
Symmetry: P4/mbm
Formation energy in meV per atom: -21
Calculated volume in Å³/cell: 365

***

Entry 25:
Material: ZrP2Br
Method: DFT, PBE
State: relaxed

a b c (Å): 5.263 5.263 3.256
angles (deg): 90.00 90.00 121.49
Atoms (fractional coordinates):
Br 0.000 0.500 0.500
P 0.000 0.000 0.000
P 0.500 0.500 0.000
Zr 0.500 0.000 0.500

Results
Formation energy without anion corrections in eV/atom: 0.0754
Symmetry: Cmmm
Calculated volume in Å³/cell: 77

***

| no. | total energy (eV per cell) | calculated density (g/cm³) |
| --- | --- | --- |
| 1 | -27.8 | 7.6 |
| 2 | -17.9 | 7.9 |
| 3 | -29.7 | 5.0 |
| 4 | -33.1 | 7.4 |
| 5 | -59.4 | 7.6 |
| 6 | -69.5 | 5.9 |
| 7 | -57.3 | 5.7 |
| 8 | -14.4 | 8.8 |
| 9 | -18.5 | 4.3 |
| 10 | -7.4 | 3.2 |
| 11 | -25.0 | 11.6 |
| 12 | -38.3 | 7.3 |
| 13 | -22.6 | 8.0 |
| 14 | -24.2 | 6.8 |
| 15 | -27.3 | 7.3 |
| 16 | -71.4 | 6.6 |
| 17 | -27.3 | 4.9 |
| 18 | -12.5 | 7.4 |
| 19 | -33.3 | 10.5 |
| 20 | -32.7 | 16.1 |
| 21 | -15.0 | 8.8 |
| 22 | -20.4 | 7.6 |
| 23 | -6.5 | 6.3 |
| 24 | -58.9 | 12.8 |
| 25 | -20.7 | 5.0 |